1.
# La5RuBr5 | Alexandria via LeMat-Bulk | PBE-GGA | relaxed
data_La5RuBr5
_symmetry_space_group_name_H-M 'C 1 2/m 1'
_symmetry_Int_Tables_number 12
_cell_length_a 13.306
_cell_length_b 6.146
_cell_length_c 8.960
_cell_angle_alpha 90.00
_cell_angle_beta 110.11
_cell_angle_gamma 90.00
loop_
_symmetry_equiv_pos_as_xyz
'x,y,z'
'-x,-y,-z'
'-x,y,-z'
'x,-y,z'
'x+1/2,y+1/2,z'
'-x+1/2,-y+1/2,-z'
'-x+1/2,y+1/2,-z'
'x+1/2,-y+1/2,z'
loop_
_atom_site_label
_atom_site_type_symbol
_atom_site_fract_x
_atom_site_fract_y
_atom_site_fract_z
La1 La 0.000 0.000 0.000
La2 La 0.144 0.500 0.286
La3 La 0.171 0.500 0.864
Ru1 Ru 0.000 0.500 0.000
Br1 Br 0.000 0.500 0.500
Br2 Br 0.146 0.000 0.789
Br3 Br 0.172 0.000 0.357
# VASP energy = -113.3 eV/cell
# uncorrected formation energy = -126.3 kJ per mole of atoms

2.
# LaRu2Br | Alexandria via LeMat-Bulk | PBE-GGA | relaxed
data_LaRu2Br
_symmetry_space_group_name_H-M 'R 3 m'
_symmetry_Int_Tables_number 160
_symmetry_space_group_name_Hall 'R 3 -2"'
_cell_length_a 4.0443
_cell_length_b 4.0443
_cell_length_c 21.8831
_cell_angle_alpha 90.00
_cell_angle_beta 90.00
_cell_angle_gamma 120.00
loop_
_atom_site_label
_atom_site_type_symbol
_atom_site_fract_x
_atom_site_fract_y
_atom_site_fract_z
La1 La 0.0000 0.0000 0.0000
Ru1 Ru 0.0000 0.0000 0.4444
Ru2 Ru 0.0000 0.0000 0.7488
Br1 Br 0.0000 0.0000 0.2387
# VASP energy = -78.2 eV/cell
# uncorrected formation energy = -21.8 kJ per mole of atoms
# excess energy over the best structure of this formula in the dataset = 0.000 eV/atom

3.
# La3RuBr | Alexandria via LeMat-Bulk | PBE-GGA | relaxed
data_La3RuBr
_symmetry_space_group_name_H-M 'P m -3 m'
_symmetry_Int_Tables_number 221
_symmetry_space_group_name_Hall '-P 4 2 3'
_cell_length_a 5.568
_cell_length_b 5.568
_cell_length_c 5.568
_cell_angle_alpha 90.00
_cell_angle_beta 90.00
_cell_angle_gamma 90.00
loop_
_atom_site_label
_atom_site_type_symbol
_atom_site_fract_x
_atom_site_fract_y
_atom_site_fract_z
La1 La 0.000 0.000 0.500
Ru1 Ru 0.000 0.000 0.000
Br1 Br 0.500 0.500 0.500
# VASP energy = -27.6 eV/cell
# uncorrected formation energy = -36.9 kJ per mole of atoms
# excess energy over the best structure of this formula in the dataset = 0.266 eV/atom

4.
# LaRu2Br | Alexandria via LeMat-Bulk | PBE-GGA | relaxed
data_LaRu2Br
_symmetry_space_group_name_H-M 'C 1 2/m 1'
_symmetry_Int_Tables_number 12
_cell_length_a 10.883
_cell_length_b 3.813
_cell_length_c 4.803
_cell_angle_alpha 90.00
_cell_angle_beta 95.97
_cell_angle_gamma 90.00
loop_
_symmetry_equiv_pos_as_xyz
'x,y,z'
'-x,-y,-z'
'-x,y,-z'
'x,-y,z'
'x+1/2,y+1/2,z'
'-x+1/2,-y+1/2,-z'
'-x+1/2,y+1/2,-z'
'x+1/2,-y+1/2,z'
loop_
_atom_site_label
_atom_site_type_symbol
_atom_site_fract_x
_atom_site_fract_y
_atom_site_fract_z
La1 La 0.000 0.000 0.000
Ru1 Ru 0.226 0.500 0.858
Br1 Br 0.000 0.500 0.500
# VASP energy = -49.2 eV/cell
# uncorrected formation energy = 13.4 kJ per mole of atoms
# excess energy over the best structure of this formula in the dataset = 0.365 eV/atom

5.
# LaRu2Br | Alexandria via LeMat-Bulk | PBE-GGA | relaxed
data_LaRu2Br
_symmetry_space_group_name_H-M 'C m m 2'
_symmetry_Int_Tables_number 35
_cell_length_a 4.882
_cell_length_b 4.903
_cell_length_c 8.132
_cell_angle_alpha 90.00
_cell_angle_beta 90.00
_cell_angle_gamma 90.00
loop_
_symmetry_equiv_pos_as_xyz
'x,y,z'
'-x,-y,z'
'-x,y,z'
'x,-y,z'
'x+1/2,y+1/2,z'
'-x+1/2,-y+1/2,z'
'-x+1/2,y+1/2,z'
'x+1/2,-y+1/2,z'
loop_
_atom_site_label
_atom_site_type_symbol
_atom_site_fract_x
_atom_site_fract_y
_atom_site_fract_z
La1 La 0.000 0.000 0.000
Ru1 Ru 0.000 0.000 0.654
Ru2 Ru 0.000 0.500 0.743
Br1 Br 0.000 0.500 0.237
# VASP energy = -51.0 eV/cell
# uncorrected formation energy = -8.4 kJ per mole of atoms
# excess energy over the best structure of this formula in the dataset = 0.140 eV/atom

6.
# LaRu2Br | Alexandria via LeMat-Bulk | PBE-GGA | relaxed
data_LaRu2Br
_symmetry_space_group_name_H-M 'P 1 2/m 1'
_symmetry_Int_Tables_number 10
_cell_length_a 3.555
_cell_length_b 5.029
_cell_length_c 4.739
_cell_angle_alpha 90.00
_cell_angle_beta 90.20
_cell_angle_gamma 90.00
loop_
_symmetry_equiv_pos_as_xyz
'x,y,z'
'-x,-y,-z'
'-x,y,-z'
'x,-y,z'
loop_
_atom_site_label
_atom_site_type_symbol
_atom_site_fract_x
_atom_site_fract_y
_atom_site_fract_z
La1 La 0.000 0.000 0.000
Ru1 Ru 0.386 0.500 0.754
Br1 Br 0.500 0.000 0.500
# VASP energy = -24.3 eV/cell
# uncorrected formation energy = 20.0 kJ per mole of atoms
# excess energy over the best structure of this formula in the dataset = 0.434 eV/atom

7.
# La2RuBr2 | Alexandria via LeMat-Bulk | PBE-GGA | relaxed
data_La2RuBr2
_symmetry_space_group_name_H-M 'R -3 m'
_symmetry_Int_Tables_number 166
_symmetry_space_group_name_Hall '-R 3 2"'
_cell_length_a 4.2485
_cell_length_b 4.2485
_cell_length_c 31.8128
_cell_angle_alpha 90.00
_cell_angle_beta 90.00
_cell_angle_gamma 120.00
loop_
_atom_site_label
_atom_site_type_symbol
_atom_site_fract_x
_atom_site_fract_y
_atom_site_fract_z
La1 La 0.0000 0.0000 0.1162
Ru1 Ru 0.0000 0.0000 0.5000
Br1 Br 0.0000 0.0000 0.2769
# VASP energy = -84.5 eV/cell
# uncorrected formation energy = -109.7 kJ per mole of atoms
# excess energy over the best structure of this formula in the dataset = 0.000 eV/atom

8.
# LaRu2Br | Alexandria via LeMat-Bulk | PBE-GGA | relaxed
data_LaRu2Br
_symmetry_space_group_name_H-M 'I -4 2 d'
_symmetry_Int_Tables_number 122
_symmetry_space_group_name_Hall 'I -4 2bw'
_cell_length_a 4.785
_cell_length_b 4.785
_cell_length_c 16.275
_cell_angle_alpha 90.00
_cell_angle_beta 90.00
_cell_angle_gamma 90.00
loop_
_atom_site_label
_atom_site_type_symbol
_atom_site_fract_x
_atom_site_fract_y
_atom_site_fract_z
La1 La 0.000 0.000 0.000
Ru1 Ru 0.107 0.250 0.625
Br1 Br 0.000 0.000 0.500
# VASP energy = -95.7 eV/cell
# uncorrected formation energy = 29.4 kJ per mole of atoms
# excess energy over the best structure of this formula in the dataset = 0.531 eV/atom

9.
# LaRu2Br | Alexandria via LeMat-Bulk | PBE-GGA | relaxed
data_LaRu2Br
_symmetry_space_group_name_H-M 'F m -3 m'
_symmetry_Int_Tables_number 225
_symmetry_space_group_name_Hall '-F 4 2 3'
_cell_length_a 6.751
_cell_length_b 6.751
_cell_length_c 6.751
_cell_angle_alpha 90.00
_cell_angle_beta 90.00
_cell_angle_gamma 90.00
loop_
_atom_site_label
_atom_site_type_symbol
_atom_site_fract_x
_atom_site_fract_y
_atom_site_fract_z
La1 La 0.000 0.000 0.000
Ru1 Ru 0.250 0.250 0.250
Br1 Br 0.000 0.000 0.500
# VASP energy = -91.8 eV/cell
# uncorrected formation energy = 53.1 kJ per mole of atoms
# excess energy over the best structure of this formula in the dataset = 0.777 eV/atom

10.
# LaRu2Br | Alexandria via LeMat-Bulk | PBE-GGA | relaxed
data_LaRu2Br
_symmetry_space_group_name_H-M 'P 1 m 1'
_symmetry_Int_Tables_number 6
_cell_length_a 3.457
_cell_length_b 3.457
_cell_length_c 8.197
_cell_angle_alpha 90.00
_cell_angle_beta 101.73
_cell_angle_gamma 90.00
loop_
_symmetry_equiv_pos_as_xyz
'x,y,z'
'x,-y,z'
loop_
_atom_site_label
_atom_site_type_symbol
_atom_site_fract_x
_atom_site_fract_y
_atom_site_fract_z
La1 La 0.000 0.000 0.000
Ru1 Ru 0.169 0.000 0.352
Ru2 Ru 0.625 0.500 0.260
Br1 Br 0.383 0.500 0.758
# VASP energy = -25.5 eV/cell
# uncorrected formation energy = -8.5 kJ per mole of atoms
# excess energy over the best structure of this formula in the dataset = 0.138 eV/atom

11.
# La3RuBr | Alexandria via LeMat-Bulk | PBE-GGA | relaxed
data_La3RuBr
_symmetry_space_group_name_H-M 'P m m n'
_symmetry_Int_Tables_number 59
_cell_length_a 4.167
_cell_length_b 7.350
_cell_length_c 9.969
_cell_angle_alpha 90.00
_cell_angle_beta 90.00
_cell_angle_gamma 90.00
loop_
_symmetry_equiv_pos_as_xyz
'x,y,z'
'-x,-y,-z'
'-x+1/2,-y+1/2,z'
'x+1/2,y+1/2,-z'
'x+1/2,-y,-z'
'-x+1/2,y,z'
'-x,y+1/2,-z'
'x,-y+1/2,z'
loop_
_atom_site_label
_atom_site_type_symbol
_atom_site_fract_x
_atom_site_fract_y
_atom_site_fract_z
La1 La 0.250 0.000 0.153
La2 La 0.250 0.250 0.584
Ru1 Ru 0.250 0.250 0.891
Br1 Br 0.250 0.750 0.660
# VASP energy = -57.8 eV/cell
# uncorrected formation energy = -61.4 kJ per mole of atoms
# excess energy over the best structure of this formula in the dataset = 0.013 eV/atom

12.
# LaRu2Br | Alexandria via LeMat-Bulk | PBE-GGA | relaxed
data_LaRu2Br
_symmetry_space_group_name_H-M 'C 1 m 1'
_symmetry_Int_Tables_number 8
_cell_length_a 8.508
_cell_length_b 3.946
_cell_length_c 5.629
_cell_angle_alpha 90.00
_cell_angle_beta 113.98
_cell_angle_gamma 90.00
loop_
_symmetry_equiv_pos_as_xyz
'x,y,z'
'x,-y,z'
'x+1/2,y+1/2,z'
'x+1/2,-y+1/2,z'
loop_
_atom_site_label
_atom_site_type_symbol
_atom_site_fract_x
_atom_site_fract_y
_atom_site_fract_z
La1 La 0.000 0.000 0.000
Ru1 Ru 0.264 0.500 0.364
Ru2 Ru 0.452 0.000 0.374
Br1 Br 0.191 0.000 0.629
# VASP energy = -50.3 eV/cell
# uncorrected formation energy = -0.1 kJ per mole of atoms
# excess energy over the best structure of this formula in the dataset = 0.225 eV/atom